# 1
8
Lattice="5.097 0.000 0.000 0.000 5.097 0.000 2.548 2.548 5.186" Properties=species:S:1:pos:R:3 comment="PBE CdB2Pt, optimized geometry" spacegroup="I-42d (122)" crystal_system=tetragonal e_form_kj_per_mol_atoms=58.85 pbc="T T T"
B 0.877 3.822 1.296
Cd 2.548 2.548 0.000
Pt 0.000 0.000 0.000
Pt 5.097 2.548 2.593
B 3.822 3.425 3.889
Cd 2.548 5.097 2.593
B 4.220 1.274 1.296
B 6.371 6.768 3.889


# 2
10
Lattice="-3.423 0.357 0.608 -1.478 -14.640 0.280 2.438 13.236 5.954" Properties=species:S:1:pos:R:3 comment="PBE Pr2Er7Tm, optimized geometry" spacegroup="Cmmm (65)" crystal_system=orthorhombic e_form_kj_per_mol_atoms=14.96 pbc="T T T"
Er -0.761 -9.532 1.320
Er -1.366 -3.581 4.460
Pr -0.417 5.276 4.601
Er -1.097 2.535 2.382
Er -1.232 -0.523 3.421
Er 1.721 8.128 4.914
Tm 0.000 0.000 0.000
Pr -2.046 -6.322 2.241
Er -0.608 1.820 5.559
Er -1.856 -2.866 1.283


# 3
12
Lattice="7.599 0.013 0.010 -3.786 6.588 0.010 -1.262 -2.185 7.630" Properties=species:S:1:pos:R:3 comment="PBE Sr2UTl3Se6, optimized geometry" spacegroup="C2/m (12)" e_form_raw_ev_per_atom=-1.2016 crystal_system=monoclinic pbc="T T T"
Sr 3.798 2.208 0.010
Tl -2.516 4.398 3.825
Sr 0.015 4.393 0.010
Se -1.124 1.970 1.597
Se -0.124 -0.215 5.981
Se 0.283 4.406 6.054
Tl 1.276 2.209 3.825
Se 2.675 4.632 1.670
Se 3.675 2.447 6.054
U 0.000 0.000 0.000
Se 2.268 0.011 1.597
Tl 5.067 0.019 3.825


# 4
5
Lattice="5.226 0.000 0.000 0.000 5.226 0.000 0.000 0.000 5.226" Properties=species:S:1:pos:R:3 comment="PBE HgGe3Bi, optimized geometry" spacegroup="Pm-3m (221)" crystal_system=cubic e_form_kj_per_mol_atoms=73.41 pbc="T T T"
Ge 0.000 2.613 0.000
Bi 2.613 2.613 2.613
Ge 0.000 0.000 2.613
Ge 2.613 0.000 0.000
Hg 0.000 0.000 0.000